The following is a DFT calculation (PBE-GGA) of AcTh2Zn after structural relaxation.

Unit cell a=3.7428 b=3.7428 c=8.8772 alpha=90.00 beta=90.00 gamma=90.00
Fractional coordinates of all 4 atoms:
Ac (0.0000, 0.0000, 0.0000)
Th (0.5000, 0.5000, 0.3032)
Th (0.5000, 0.5000, 0.6968)
Zn (0.0000, 0.0000, 0.5000)

Output
V: 124.36 Å³/f.u.
Calculated formation energy: 0.0 eV per formula unit
Distance to the lowest polymorph of the same formula: 0.000 eV per atom